The following is a SCAN calculation of a PBEsol-optimized structure of MgCdIn2, from the Alexandria database.

Geometry as POSCAR:
```
MgCdIn2
1.0
5.104 0.000 0.000
2.552 4.420 0.000
2.552 1.473 4.167
Cd In Mg
1 2 1
direct
0.500 0.500 0.500
0.000 0.000 0.000
0.750 0.750 0.750
0.250 0.250 0.250
```

Computed properties:
- Magnetic moment: 0.000 μB/cell
- Theoretical density: 6.47 g cm⁻³
- Energy relative to the elements: 0.128 eV/f.u.
- N(E_F): 1.72 states/eV per cell

The following is a SCAN calculation of a PBEsol-optimized structure of MnCdIn3, from the Alexandria database.

Geometry as POSCAR:
```
MnCdIn3
1.0
-1.755 -2.797 4.193
5.033 -1.216 1.296
0.276 4.380 3.038
In Mn Cd
3 1 1
direct
0.000 0.500 0.000
0.000 0.000 0.500
0.500 0.000 0.000
0.500 0.500 0.500
0.000 0.000 0.000
```

Computed properties:
- Magnetic moment: 4.731 μB/cell
- Theoretical density: 5.59 g cm⁻³
- Energy relative to the elements: 3.280 eV/f.u.
- N(E_F): 2.38 states/eV per cell

The following is a SCAN calculation of a PBEsol-optimized structure of Cd2InMo, from the Alexandria database.

Geometry as POSCAR:
```
Cd2InMo
1.0
3.129 0.000 0.000
0.000 4.908 0.000
-1.564 -2.454 4.971
Cd In Mo
2 1 1
direct
0.990 0.990 0.980
0.748 0.248 0.496
0.512 0.512 0.023
0.250 0.750 0.500
```

Computed properties:
- Magnetic moment: 0.000 μB/cell
- Theoretical density: 9.48 g cm⁻³
- Energy relative to the elements: 1.797 eV/f.u.
- N(E_F): 1.94 states/eV per cell

The following is a SCAN calculation of a PBEsol-optimized structure of CdIn2Mo, from the Alexandria database.

Geometry as POSCAR:
```
CdIn2Mo
1.0
4.026 0.000 0.000
0.000 4.029 0.000
-2.013 -2.014 4.686
In Mo Cd
2 1 1
direct
0.000 0.000 0.000
0.750 0.250 0.500
0.500 0.500 0.000
0.250 0.750 0.500
```

Computed properties:
- Magnetic moment: 0.000 μB/cell
- Theoretical density: 9.57 g cm⁻³
- Energy relative to the elements: 1.006 eV/f.u.
- N(E_F): 0.64 states/eV per cell

Taking the records one at a time from the top gives volume values of 94, 152, 76, 76 Å³ per cell.